Below is an optimized crystal structure of Nb2Zn2CoO8, with properties calculated at the PBE with a Hubbard U level.

Values from the calculation:
**Final energy**: -7.159 eV per atom
**Symmetry**: C2/c

Cell: 10.1054 10.1054 5.2793 Å, 90.43 90.43 34.32°
Last column: nearest neighbours and their distance in Å.
Atoms (fractional coordinates):
1 Nb 0.0481 0.7242 0.7371  5 O 1.86-2.06
2 Nb 0.2758 0.9519 0.7629  5 O 1.86-2.06
3 Nb 0.7242 0.0481 0.2371  5 O 1.86-2.06
4 Nb 0.9519 0.2758 0.2629  5 O 1.86-2.06
5 Zn 0.1253 0.4345 0.2359  4 O 1.97-2.13
6 Zn 0.4345 0.1253 0.7359  4 O 1.97-2.13
7 Zn 0.5655 0.8747 0.2641  4 O 1.97-2.13
8 Zn 0.8747 0.5655 0.7641  4 O 1.97-2.13
9 Co 0.3562 0.6438 0.2500  6 O 2.11-2.15
10 Co 0.6438 0.3562 0.7500  6 O 2.11-2.15
11 O 0.0479 0.8144 0.0776  2 Nb 2.01-2.06, 1 Co 2.15
12 O 0.0761 0.2817 0.5593  1 Zn 1.97, 1 Nb 2.03
13 O 0.1617 0.4526 0.8665  3 Zn 1.99-2.13, 1 Nb 2.03
14 O 0.1856 0.9521 0.4224  2 Nb 2.01-2.06, 1 Co 2.15
15 O 0.2817 0.0761 0.0593  1 Zn 1.97, 1 Nb 2.03
16 O 0.3179 0.5677 0.5876  1 Nb 1.86
17 O 0.4323 0.6821 0.9124  1 Nb 1.86
18 O 0.4526 0.1617 0.3665  3 Zn 1.99-2.13, 1 Nb 2.03
19 O 0.5474 0.8383 0.6335  3 Zn 1.99-2.13, 1 Nb 2.03
20 O 0.5677 0.3179 0.0876  1 Nb 1.86
21 O 0.6821 0.4323 0.4124  1 Nb 1.86
22 O 0.7183 0.9239 0.9407  1 Zn 1.97, 1 Nb 2.03
23 O 0.8144 0.0479 0.5776  2 Nb 2.01-2.06, 1 Co 2.15
24 O 0.8383 0.5474 0.1335  3 Zn 1.99-2.13, 1 Nb 2.03
25 O 0.9239 0.7183 0.4407  1 Zn 1.97, 1 Nb 2.03
26 O 0.9521 0.1856 0.9224  2 Nb 2.01-2.06, 1 Co 2.15